No. 1
VASP calculation (PBE) on a relaxed Dy2Zn16Ag crystal.

Lattice parameters (Å, degrees): 6.8061 6.8061 6.8061 82.69 82.69 82.69
Element x y z (fractional)
Dy (0.0000, 0.0000, 0.0000)
Dy (0.3258, 0.3258, 0.3258)
Zn (0.0159, 0.0159, 0.5016)
Zn (0.0159, 0.5016, 0.0159)
Zn (0.1651, 0.6620, 0.6620)
Zn (0.3089, 0.3089, 0.8268)
Zn (0.3089, 0.8268, 0.3089)
Zn (0.3655, 0.6632, 0.9607)
Zn (0.3655, 0.9607, 0.6632)
Zn (0.5016, 0.0159, 0.0159)
Zn (0.5563, 0.5563, 0.5563)
Zn (0.6620, 0.1651, 0.6620)
Zn (0.6620, 0.6620, 0.1651)
Zn (0.6632, 0.3655, 0.9607)
Zn (0.6632, 0.9607, 0.3655)
Zn (0.8268, 0.3089, 0.3089)
Zn (0.9607, 0.3655, 0.6632)
Zn (0.9607, 0.6632, 0.3655)
Ag (0.7614, 0.7614, 0.7614)

Calculated values
* size of the total moment: 0.00 μB per atom
* raw total energy: -36.84 eV/cell
* crystal system: trigonal
* energy of formation: -0.23 eV/atom
* SG: R3m


No. 2
VASP calculation (PBE) on a relaxed DyZnAg2 crystal.

Lattice parameters (Å, degrees): 4.3996 4.3996 4.2953 90.00 90.00 90.00
Element x y z (fractional)
Dy (0.0000, 0.0000, 0.0000)
Zn (0.5000, 0.5000, 0.0000)
Ag (0.0000, 0.5000, 0.5000)
Ag (0.5000, 0.0000, 0.5000)

Calculated values
* size of the total moment: 0.00 μB per atom
* raw total energy: -12.05 eV/cell
* crystal system: tetragonal
* energy of formation: -0.12 eV/atom
* SG: P4/mmm